# 1
{"formula": "AcPuTlSi", "functional": "PBE", "state": "relaxed", "sg": "F-43m", "crystal_system": "cubic", "formation_energy_uncorrected_ev_per_atom": -0.11, "dos_ef_per_ev_cell": 42.843, "lattice_angstrom": [[7.6958, 0.0000, 0.0000], [0.0000, 7.6958, 0.0000], [0.0000, 0.0000, 7.6958]], "species": ["Ac", "Ac", "Ac", "Ac", "Pu", "Pu", "Pu", "Pu", "Tl", "Tl", "Tl", "Tl", "Si", "Si", "Si", "Si"], "fractional_positions": [[0.0000, 0.0000, 0.0000], [0.0000, 0.5000, 0.5000], [0.5000, 0.0000, 0.5000], [0.5000, 0.5000, 0.0000], [0.0000, 0.0000, 0.5000], [0.0000, 0.5000, 0.0000], [0.5000, 0.0000, 0.0000], [0.5000, 0.5000, 0.5000], [0.2500, 0.2500, 0.7500], [0.2500, 0.7500, 0.2500], [0.7500, 0.2500, 0.2500], [0.7500, 0.7500, 0.7500], [0.2500, 0.2500, 0.2500], [0.2500, 0.7500, 0.7500], [0.7500, 0.2500, 0.7500], [0.7500, 0.7500, 0.2500]]}



# 2
{"formula": "AcSm2Pu", "functional": "PBE", "state": "relaxed", "sg": "R3m", "crystal_system": "trigonal", "e_form_ev_per_atom": 0.161, "dos_ef_per_ev_cell": 33.469, "lattice_angstrom": [[3.6981, 0.0000, 0.0000], [-1.8490, 3.2026, 0.0000], [0.0000, 0.0000, 35.5583]], "species": ["Ac", "Ac", "Ac", "Sm", "Sm", "Sm", "Sm", "Sm", "Sm", "Pu", "Pu", "Pu"], "fractional_positions": [[0.0000, 0.0000, 0.0000], [0.3333, 0.6667, 0.6667], [0.6667, 0.3333, 0.3333], [0.0000, 0.0000, 0.5775], [0.0000, 0.0000, 0.7547], [0.3333, 0.6667, 0.2441], [0.3333, 0.6667, 0.4214], [0.6667, 0.3333, 0.0881], [0.6667, 0.3333, 0.9108], [0.0000, 0.0000, 0.1657], [0.3333, 0.6667, 0.8324], [0.6667, 0.3333, 0.4991]]}